Record 1
Computed, not measured: SrThZn2 after structural relaxation at the PBE level of DFT.

The structure in extended XYZ format:
```
4
Lattice="3.735 0.000 0.000 0.000 3.735 0.000 0.000 0.000 7.741" Properties=species:S:1:pos:R:3 pbc="T T T"
Sr 1.867 1.867 3.870
Zn 0.000 0.000 6.001
Zn 0.000 0.000 1.739
Th 1.867 1.867 0.000
```

## Properties
The density of states at the Fermi level is 0.540 states/eV/atom. The calculation puts the energy relative to the elements at -163 meV/atom.

Record 2
Computed, not measured: ZnIn2Sn2 after structural relaxation at the PBE level of DFT.

The structure in extended XYZ format:
```
10
Lattice="7.347 0.000 0.000 0.000 7.347 0.000 0.000 0.000 5.015" Properties=species:S:1:pos:R:3 pbc="T T T"
Zn 0.000 0.000 0.000
Zn 3.673 3.673 0.000
Sn 2.593 6.267 0.000
Sn 6.267 4.754 0.000
Sn 4.754 1.080 0.000
Sn 1.080 2.593 0.000
In 1.222 4.895 2.508
In 4.895 6.125 2.508
In 6.125 2.452 2.508
In 2.452 1.222 2.508
```

## Properties
The density of states at the Fermi level is 0.440 states/eV/atom. The calculation puts the energy relative to the elements at 116 meV/atom.

Record 3
Computed, not measured: PrEr2Hg2 after structural relaxation at the PBE level of DFT.

The structure in extended XYZ format:
```
10
Lattice="6.707 -0.537 -0.002 -2.780 6.127 -0.002 -1.960 -2.791 8.194" Properties=species:S:1:pos:R:3 pbc="T T T"
Pr 2.662 1.265 6.142
Pr -0.696 1.534 2.047
Er 0.697 -1.532 4.457
Er 1.266 4.326 0.357
Er 1.269 4.331 3.733
Er 0.700 -1.527 7.832
Hg -1.369 -0.077 6.144
Hg 1.980 -0.346 2.047
Hg -0.014 3.145 6.142
Hg 3.335 2.876 2.045
```

## Properties
The density of states at the Fermi level is 1.224 states/eV/atom. The calculation puts the energy relative to the elements at 2 meV/atom.

Record 4
Computed, not measured: BaTc2P after structural relaxation at the PBE level of DFT.

The structure in extended XYZ format:
```
4
Lattice="-4.061 -3.713 1.101 -2.689 1.273 4.758 1.267 1.389 -5.287" Properties=species:S:1:pos:R:3 pbc="T T T"
Ba -0.711 1.331 -0.264
Tc -4.692 -1.696 4.073
Tc -2.058 -0.744 1.786
P -1.397 -1.162 -2.093
```

## Properties
The density of states at the Fermi level is 1.097 states/eV/atom. The calculation puts the energy relative to the elements at 524 meV/atom.

Record 5
Computed, not measured: SnPb2F6 after structural relaxation at the PBE level of DFT.

The structure in extended XYZ format:
```
9
Lattice="-3.085 1.717 2.903 1.170 -3.145 3.103 7.234 6.346 0.337" Properties=species:S:1:pos:R:3 pbc="T T T"
Sn -0.957 -0.714 3.003
Pb 2.261 2.029 1.203
Pb 3.058 2.888 5.140
F -0.950 1.484 3.528
F 4.712 4.300 4.281
F 1.199 -0.971 3.629
F 5.679 5.022 1.248
F 1.596 3.674 3.121
F 3.723 1.243 3.222
```

## Properties
The density of states at the Fermi level is 0.000 states/eV/atom. The calculation puts the uncorrected formation energy at -20.11 eV/f.u.

Record 6
Computed, not measured: BeTe3Pd after structural relaxation at the PBE level of DFT.

The structure in extended XYZ format:
```
5
Lattice="-0.867 1.182 5.066 4.710 -2.002 1.273 2.208 4.733 -0.726" Properties=species:S:1:pos:R:3 pbc="T T T"
Be 3.025 1.957 2.806
Te 2.355 -1.001 0.636
Te 1.104 2.367 -0.363
Te -0.433 0.591 2.533
Pd 0.000 0.000 0.000
```

## Properties
The density of states at the Fermi level is 1.315 states/eV/atom. The calculation puts the uncorrected formation energy at 4.06 eV/f.u.

Record 7
Computed, not measured: TbNd2Pd3 after structural relaxation at the PBE level of DFT.

The structure in extended XYZ format:
```
12
Lattice="5.903 0.000 0.000 0.000 8.362 0.000 -2.951 -2.094 6.243" Properties=species:S:1:pos:R:3 pbc="T T T"
Tb 5.868 6.271 0.000
Tb 0.035 2.090 0.000
Nd 2.973 4.180 2.093
Nd 2.930 -0.001 2.093
Nd 0.021 6.268 4.149
Nd -0.021 2.088 4.150
Pd 2.987 2.090 0.000
Pd 2.916 6.271 0.000
Pd -0.022 -0.001 2.007
Pd 2.929 2.088 4.236
Pd 0.022 4.180 2.006
Pd 2.973 6.269 4.236
```

## Properties
The density of states at the Fermi level is 0.687 states/eV/atom. The calculation puts the energy relative to the elements at -691 meV/atom.

Record 8
Computed, not measured: SbPRh2 after structural relaxation at the PBE level of DFT.

The structure in extended XYZ format:
```
4
Lattice="-0.269 -0.571 3.228 0.133 -4.463 -0.778 4.628 0.068 0.397" Properties=species:S:1:pos:R:3 pbc="T T T"
Sb 2.385 0.035 0.205
P 0.664 -2.506 1.288
Rh -0.096 -0.285 1.617
Rh 3.855 -2.176 -0.064
```

## Properties
The density of states at the Fermi level is 0.531 states/eV/atom. The calculation puts the uncorrected formation energy at -1.43 eV/f.u.

Record 9
Computed, not measured: Y2Tl3ZnTe6 after structural relaxation at the PBE level of DFT.

The structure in extended XYZ format:
```
12
Lattice="7.643 -0.007 -0.015 -3.825 6.616 -0.015 -1.289 -2.232 7.908" Properties=species:S:1:pos:R:3 pbc="T T T"
Y 0.032 4.388 -0.015
Y 3.785 2.221 -0.015
Tl -2.444 4.330 3.939
Tl 4.972 0.047 3.939
Tl 1.264 2.189 3.939
Zn 0.000 0.000 0.000
Te 3.753 2.294 6.253
Te 2.581 4.469 1.710
Te -1.225 2.083 1.625
Te 0.112 4.397 6.253
Te -0.053 -0.091 6.168
Te 2.416 -0.020 1.625
```

## Properties
The density of states at the Fermi level is 0.568 states/eV/atom. The calculation puts the uncorrected formation energy at -8.80 eV/f.u.

Record 10
Computed, not measured: LaGe3P after structural relaxation at the PBE level of DFT.

The structure in extended XYZ format:
```
5
Lattice="-2.743 -0.549 -4.875 -2.416 -4.710 1.890 -4.270 3.018 2.062" Properties=species:S:1:pos:R:3 pbc="T T T"
P -4.714 -1.121 -0.461
Ge -1.208 -2.355 0.945
Ge -2.135 1.509 1.031
Ge -1.371 -0.275 -2.438
La 0.000 0.000 0.000
```

## Properties
The density of states at the Fermi level is 1.479 states/eV/atom. The calculation puts the energy relative to the elements at 1374 meV/atom.

Record 11
Computed, not measured: As2RhSeBr after structural relaxation at the PBE level of DFT.

The structure in extended XYZ format:
```
5
Lattice="4.817 0.000 0.000 0.000 4.817 0.000 0.000 0.000 5.069" Properties=species:S:1:pos:R:3 pbc="T T T"
As 0.000 2.409 0.000
As 2.409 0.000 0.000
Rh 0.000 0.000 0.000
Se 0.000 0.000 2.535
Br 2.409 2.409 2.535
```

## Properties
The density of states at the Fermi level is 1.252 states/eV/atom. The calculation puts the uncorrected formation energy at 2.20 eV/f.u.

Record 12
Computed, not measured: CdIn2Au after structural relaxation at the PBE level of DFT.

The structure in extended XYZ format:
```
4
Lattice="-1.917 0.030 2.698 2.010 -2.192 1.452 4.640 6.390 3.225" Properties=species:S:1:pos:R:3 pbc="T T T"
Cd 3.379 3.508 4.391
Au 2.345 3.229 1.630
In 4.599 6.334 3.197
In 1.370 0.741 2.995
```

## Properties
The density of states at the Fermi level is 0.428 states/eV/atom. The calculation puts the energy relative to the elements at -61 meV/atom.

Record 13
Computed, not measured: B2C3 after structural relaxation at the PBE level of DFT.

The structure in extended XYZ format:
```
10
Lattice="-1.241 1.279 10.235 1.241 -1.279 10.235 1.241 1.279 -10.235" Properties=species:S:1:pos:R:3 pbc="T T T"
B 0.000 0.000 16.196
B 0.000 1.279 7.313
B 0.000 1.279 3.018
B 1.241 0.000 9.330
C 0.000 0.000 12.169
C 0.000 0.000 8.285
C 0.000 0.000 4.082
C 1.241 0.000 4.912
C 0.000 0.000 0.165
C 1.241 0.000 1.057
```

## Properties
The density of states at the Fermi level is 0.211 states/eV/atom. The calculation puts the energy relative to the elements at 334 meV/atom.

Record 14
Computed, not measured: Sc3AgO after structural relaxation at the PBE level of DFT.

The structure in extended XYZ format:
```
5
Lattice="4.891 0.000 1.829 -2.445 4.235 1.829 -2.445 -4.235 1.829" Properties=species:S:1:pos:R:3 pbc="T T T"
Sc 1.523 -2.638 2.760
Sc -3.046 0.000 2.760
Sc 1.523 2.638 2.760
O 0.000 0.000 5.321
Ag 0.000 0.000 2.172
```

## Properties
The density of states at the Fermi level is 0.866 states/eV/atom. The calculation puts the uncorrected formation energy at -3.76 eV/f.u.

Record 15
Computed, not measured: AlCrSb2 after structural relaxation at the PBE level of DFT.

The structure in extended XYZ format:
```
4
Lattice="6.998 -0.363 -0.218 6.069 3.503 -0.218 6.069 1.458 3.192" Properties=species:S:1:pos:R:3 pbc="T T T"
Sb 0.091 0.022 0.013
Sb 9.477 2.277 1.365
Al 4.784 1.149 0.689
Cr 14.352 3.448 2.068
```

## Properties
The density of states at the Fermi level is 0.403 states/eV/atom. The calculation puts the uncorrected formation energy at 0.71 eV/f.u.

Record 16
Computed, not measured: Tb6PmTl2 after structural relaxation at the PBE level of DFT.

The structure in extended XYZ format:
```
9
Lattice="3.724 0.000 0.591 1.628 6.270 1.773 0.018 -0.006 11.908" Properties=species:S:1:pos:R:3 pbc="T T T"
Tb 3.375 3.125 2.788
Tb 1.995 3.138 11.484
Tb 2.462 5.000 8.544
Tb 4.790 4.241 5.902
Tb 0.580 2.023 8.371
Tb 2.909 1.263 5.728
Pm 0.000 0.000 0.000
Tl 1.454 0.424 2.864
Tl 3.916 5.840 11.408
```

## Properties
The density of states at the Fermi level is 1.339 states/eV/atom. The calculation puts the energy relative to the elements at -146 meV/atom.

Record 17
Computed, not measured: CaTmPu after structural relaxation at the PBE level of DFT.

The structure in extended XYZ format:
```
3
Lattice="-0.386 -3.419 0.634 3.245 -0.584 -1.170 1.379 3.032 7.540" Properties=species:S:1:pos:R:3 pbc="T T T"
Ca 0.011 0.004 0.029
Tm 1.816 0.666 4.702
Pu 2.411 -1.641 2.272
```

## Properties
The density of states at the Fermi level is 3.348 states/eV/atom. The calculation puts the energy relative to the elements at 216 meV/atom.

Record 18
Computed, not measured: Rb2YCd2Te4 after structural relaxation at the PBE level of DFT.

The structure in extended XYZ format:
```
9
Lattice="-4.347 -1.057 -0.522 0.963 -6.832 5.810 -0.138 8.117 4.143" Properties=species:S:1:pos:R:3 pbc="T T T"
Rb -0.041 -1.954 4.296
Rb -3.481 2.182 5.135
Y 0.000 0.000 0.000
Cd -3.038 2.288 1.237
Cd -0.484 -2.060 8.195
Te -0.661 1.376 2.716
Te -2.861 -1.148 6.716
Te -1.521 -5.514 4.397
Te -2.001 5.742 5.035
```

## Properties
The density of states at the Fermi level is 0.513 states/eV/atom. The calculation puts the uncorrected formation energy at -7.90 eV/f.u.

Record 19
Computed, not measured: TbHoThPa after structural relaxation at the PBE level of DFT.

The structure in extended XYZ format:
```
4
Lattice="-5.162 0.393 -1.989 -3.773 -3.852 1.298 -4.194 1.262 3.402" Properties=species:S:1:pos:R:3 pbc="T T T"
Pa 0.000 0.000 0.000
Tb -9.847 -1.648 2.033
Ho -6.565 -1.099 1.356
Th -3.282 -0.549 0.678
```

## Properties
The density of states at the Fermi level is 3.093 states/eV/atom. The calculation puts the energy relative to the elements at 357 meV/atom.

Record 20
Computed, not measured: Be2P2Au after structural relaxation at the PBE level of DFT.

The structure in extended XYZ format:
```
5
Lattice="-0.231 3.814 1.065 -2.841 -0.903 2.617 1.518 0.780 4.923" Properties=species:S:1:pos:R:3 pbc="T T T"
P -0.768 1.286 2.616
P -0.787 2.405 5.989
Au 0.000 0.000 0.000
Be -0.125 3.025 3.915
Be -1.430 0.666 4.691
```

## Properties
The density of states at the Fermi level is 0.208 states/eV/atom. The calculation puts the energy relative to the elements at 148 meV/atom.